w.
The following is a DFT calculation (GGA-PBEsol) of crystalline Li3Pb at its relaxed geometry.

Summary:
volume: 238.20 Å³/cell
magnetization: 0.00 μB per cell

CIF file:
```
data_Li3Pb
_chemical_formula_sum 'Li9 Pb3'
_cell_length_a 9.0677
_cell_length_b 9.0677
_cell_length_c 3.3451
_cell_angle_alpha 90.00
_cell_angle_beta 90.00
_cell_angle_gamma 120.00
_symmetry_space_group_name_H-M 'R -3 m'
_symmetry_Int_Tables_number 166
_symmetry_space_group_name_Hall '-R 3 2"'
loop_
_atom_site_label
_atom_site_fract_x
_atom_site_fract_y
_atom_site_fract_z
Li1 0.0000 0.5000 0.0000
Pb1 0.0000 0.0000 0.0000
```

x.
The following is a DFT calculation (GGA-PBEsol) of crystalline Li3Pb at its relaxed geometry.

Summary:
volume: 150.10 Å³/cell
magnetization: 0.00 μB per cell

CIF file:
```
data_Li3Pb
_chemical_formula_sum 'Li6 Pb2'
_cell_length_a 5.9907
_cell_length_b 5.9907
_cell_length_c 4.8294
_cell_angle_alpha 90.00
_cell_angle_beta 90.00
_cell_angle_gamma 120.00
_symmetry_space_group_name_H-M 'P 63/m m c'
_symmetry_Int_Tables_number 194
_symmetry_space_group_name_Hall '-P 6c 2c'
loop_
_atom_site_label
_atom_site_fract_x
_atom_site_fract_y
_atom_site_fract_z
Li1 0.1722 0.3444 0.2500
Pb1 0.3333 0.6667 0.7500
```

Stability check: which of them is least stable? w.

w.
The following is a DFT calculation (GGA-PBEsol) of crystalline Li3Pb at its relaxed geometry.

Summary:
volume: 288.01 Å³/cell
magnetization: 0.00 μB per cell

CIF file:
```
data_Li3Pb
_chemical_formula_sum 'Li12 Pb4'
_cell_length_a 6.6039
_cell_length_b 6.6039
_cell_length_c 6.6039
_cell_angle_alpha 90.00
_cell_angle_beta 90.00
_cell_angle_gamma 90.00
_symmetry_space_group_name_H-M 'F m -3 m'
_symmetry_Int_Tables_number 225
_symmetry_space_group_name_Hall '-F 4 2 3'
loop_
_atom_site_label
_atom_site_fract_x
_atom_site_fract_y
_atom_site_fract_z
Li1 0.0000 0.0000 0.0000
Li2 0.2500 0.2500 0.2500
Pb1 0.0000 0.0000 0.5000
```

x.
The following is a DFT calculation (GGA-PBEsol) of crystalline Li3Pb at its relaxed geometry.

Summary:
volume: 146.80 Å³/cell
magnetization: 0.00 μB per cell

CIF file:
```
data_Li3Pb
_chemical_formula_sum 'Li6 Pb2'
_cell_length_a 3.9097
_cell_length_b 4.4696
_cell_length_c 8.4006
_cell_angle_alpha 90.00
_cell_angle_beta 90.00
_cell_angle_gamma 90.00
_symmetry_space_group_name_H-M 'I m m m'
_symmetry_Int_Tables_number 71
_symmetry_space_group_name_Hall '-I 2 2'
loop_
_atom_site_label
_atom_site_fract_x
_atom_site_fract_y
_atom_site_fract_z
Li1 0.0000 0.0000 0.0000
Li2 0.0000 0.5000 0.2543
Pb1 0.0000 0.0000 0.5000
```

y.
The following is a DFT calculation (GGA-PBEsol) of crystalline Li3Pb at its relaxed geometry.

Summary:
volume: 303.83 Å³/cell
magnetization: 0.00 μB per cell

CIF file:
```
data_Li3Pb
_chemical_formula_sum 'Li12 Pb4'
_cell_length_a 7.5896
_cell_length_b 8.3184
_cell_length_c 4.8125
_cell_angle_alpha 90.00
_cell_angle_beta 90.00
_cell_angle_gamma 90.00
_symmetry_space_group_name_H-M 'C m c m'
_symmetry_Int_Tables_number 63
_symmetry_space_group_name_Hall '-C 2c 2'
loop_
_atom_site_label
_atom_site_fract_x
_atom_site_fract_y
_atom_site_fract_z
Li1 0.0000 0.0940 0.2500
Li2 0.1811 0.3960 0.2500
Pb1 0.0000 0.2828 0.7500
```

Stability check: which of them is least stable? y.

w.
The following is a DFT calculation (GGA-PBEsol) of crystalline Li3Pb at its relaxed geometry.

Summary:
volume: 80.99 Å³/cell
magnetization: 0.00 μB per cell

CIF file:
```
data_Li3Pb
_chemical_formula_sum 'Li3 Pb1'
_cell_length_a 3.0802
_cell_length_b 4.4587
_cell_length_c 5.8969
_cell_angle_alpha 90.00
_cell_angle_beta 90.00
_cell_angle_gamma 90.00
_symmetry_space_group_name_H-M 'P m m m'
_symmetry_Int_Tables_number 47
loop_
_symmetry_equiv_pos_as_xyz
'x,y,z'
'-x,-y,-z'
'-x,-y,z'
'x,y,-z'
'x,-y,-z'
'-x,y,z'
'-x,y,-z'
'x,-y,z'
loop_
_atom_site_label
_atom_site_fract_x
_atom_site_fract_y
_atom_site_fract_z
Li1 0.0000 0.0000 0.0000
Li2 0.5000 0.5000 0.2643
Pb1 0.0000 0.0000 0.5000
```

x.
The following is a DFT calculation (GGA-PBEsol) of crystalline Li3Pb at its relaxed geometry.

Summary:
volume: 335.24 Å³/cell
magnetization: 0.00 μB per cell

CIF file:
```
data_Li3Pb
_chemical_formula_sum 'Li12 Pb4'
_cell_length_a 6.8555
_cell_length_b 8.8981
_cell_length_c 5.4957
_cell_angle_alpha 90.00
_cell_angle_beta 90.00
_cell_angle_gamma 90.00
_symmetry_space_group_name_H-M 'P n m a'
_symmetry_Int_Tables_number 62
loop_
_symmetry_equiv_pos_as_xyz
'x,y,z'
'-x,-y,-z'
'-x+1/2,-y,z+1/2'
'x+1/2,y,-z+1/2'
'x+1/2,-y+1/2,-z+1/2'
'-x+1/2,y+1/2,z+1/2'
'-x,y+1/2,-z'
'x,-y+1/2,z'
loop_
_atom_site_label
_atom_site_fract_x
_atom_site_fract_y
_atom_site_fract_z
Li1 0.0215 0.2500 0.1383
Li2 0.1847 0.0346 0.5931
Pb1 0.1150 0.7500 0.3568
```

Stability check: which of them is least stable? w.

w.
The following is a DFT calculation (GGA-PBEsol) of crystalline Li3Pb at its relaxed geometry.

Summary:
volume: 148.60 Å³/cell
magnetization: 0.00 μB per cell

CIF file:
```
data_Li3Pb
_chemical_formula_sum 'Li6 Pb2'
_cell_length_a 5.2967
_cell_length_b 5.2967
_cell_length_c 5.2967
_cell_angle_alpha 90.00
_cell_angle_beta 90.00
_cell_angle_gamma 90.00
_symmetry_space_group_name_H-M 'P m -3 n'
_symmetry_Int_Tables_number 223
_symmetry_space_group_name_Hall '-P 4n 2 3'
loop_
_atom_site_label
_atom_site_fract_x
_atom_site_fract_y
_atom_site_fract_z
Li1 0.0000 0.2500 0.5000
Pb1 0.0000 0.0000 0.0000
```

x.
The following is a DFT calculation (GGA-PBEsol) of crystalline Li3Pb at its relaxed geometry.

Summary:
volume: 75.36 Å³/cell
magnetization: 0.00 μB per cell

CIF file:
```
data_Li3Pb
_chemical_formula_sum 'Li3 Pb1'
_cell_length_a 4.6035
_cell_length_b 4.6035
_cell_length_c 3.5559
_cell_angle_alpha 90.00
_cell_angle_beta 90.00
_cell_angle_gamma 90.00
_symmetry_space_group_name_H-M 'P 4/m m m'
_symmetry_Int_Tables_number 123
_symmetry_space_group_name_Hall '-P 4 2'
loop_
_atom_site_label
_atom_site_fract_x
_atom_site_fract_y
_atom_site_fract_z
Li1 0.0000 0.0000 0.0000
Li2 0.0000 0.5000 0.5000
Pb1 0.5000 0.5000 0.0000
```

Stability check: which of them is least stable? x.

w.
The following is a DFT calculation (GGA-PBEsol) of crystalline LiPd3Pb at its relaxed geometry.

Summary:
volume: 127.15 Å³/cell
magnetization: 0.00 μB per cell

CIF file:
```
data_LiPd3Pb
_chemical_formula_sum 'Li1 Pd3 Pb1'
_cell_length_a 5.0285
_cell_length_b 5.0285
_cell_length_c 5.0285
_cell_angle_alpha 90.00
_cell_angle_beta 90.00
_cell_angle_gamma 90.00
_symmetry_space_group_name_H-M 'P m -3 m'
_symmetry_Int_Tables_number 221
_symmetry_space_group_name_Hall '-P 4 2 3'
loop_
_atom_site_label
_atom_site_fract_x
_atom_site_fract_y
_atom_site_fract_z
Li1 0.0000 0.0000 0.0000
Pd1 0.0000 0.5000 0.5000
Pb1 0.5000 0.5000 0.5000
```

x.
The following is a DFT calculation (GGA-PBEsol) of crystalline LiPd3Pb at its relaxed geometry.

Summary:
volume: 80.23 Å³/cell
magnetization: 0.00 μB per cell

CIF file:
```
data_LiPd3Pb
_chemical_formula_sum 'Li1 Pd3 Pb1'
_cell_length_a 4.3131
_cell_length_b 4.3131
_cell_length_c 4.3131
_cell_angle_alpha 90.00
_cell_angle_beta 90.00
_cell_angle_gamma 90.00
_symmetry_space_group_name_H-M 'P m -3 m'
_symmetry_Int_Tables_number 221
_symmetry_space_group_name_Hall '-P 4 2 3'
loop_
_atom_site_label
_atom_site_fract_x
_atom_site_fract_y
_atom_site_fract_z
Li1 0.0000 0.0000 0.0000
Pd1 0.0000 0.0000 0.5000
Pb1 0.5000 0.5000 0.5000
```

Stability check: which of them is least stable? w.